[1]
Below is a relaxed structure of Ac2BPtRh6, with properties calculated at the PBE-GGA level.

The total energy comes out at -68.150 eV per formula unit. The crystal system is monoclinic.

It has space group C2/m (No. 12), with a = 11.2429 Å, b = 6.4998 Å, c = 6.4914 Å, α = 90.00°, β = 125.24° and γ = 90.00°. Symmetry generates all atoms from Ac at (0.2501, 0.0000, 0.2502), B at (0.0000, 0.0000, 0.5000), Pt at (0.0000, 0.5000, 0.0000), Rh at (0.0000, 0.2226, 0.2771) and Rh at (0.2229, 0.0000, 0.7228).

---

[2]
Below is a relaxed structure of Ac3B2PtRh9, with properties calculated at the PBE-GGA level.

The total energy comes out at -104.858 eV per formula unit. The crystal system is trigonal.

It has space group P-3m1 (No. 164), with a = 5.9673 Å, b = 5.9673 Å, c = 8.8468 Å, α = 90.00°, β = 90.00° and γ = 120.00°. Symmetry generates all atoms from Ac at (0.0000, 0.0000, 0.0000), Ac at (0.3333, 0.6667, 0.6363), B at (0.3333, 0.6667, 0.1433), Pt at (0.0000, 0.0000, 0.5000), Rh at (0.0000, 0.5000, 0.0000) and Rh at (0.1657, 0.3313, 0.2734).

---

[3]
Below is a relaxed structure of Ac2B3PtRh12, with properties calculated at the PBE-GGA level.

The total energy comes out at -123.682 eV per formula unit. The crystal system is trigonal.

It has space group R-3m (No. 166, hexagonal axes), with a = 7.5167 Å, b = 7.5167 Å, c = 18.0822 Å, α = 90.00°, β = 90.00° and γ = 120.00°. Symmetry generates all atoms from Ac at (0.0000, 0.0000, 0.0960), B at (0.0000, 0.5000, 0.0000), Pt at (0.0000, 0.0000, 0.5000), Rh at (0.0639, 0.5320, 0.8851) and Rh at (0.0759, 0.5380, 0.3061).

---

[4]
Below is a relaxed structure of Ac4B3PtRh12, with properties calculated at the PBE-GGA level.

The total energy comes out at -139.885 eV per formula unit. The crystal system is cubic.

It has space group Im-3m (No. 229), with a = 8.9514 Å, b = 8.9514 Å, c = 8.9514 Å, α = 90.00°, β = 90.00° and γ = 90.00°. Symmetry generates all atoms from Ac at (0.2500, 0.2500, 0.2500), B at (0.0000, 0.0000, 0.5000), Pt at (0.0000, 0.0000, 0.0000), Rh at (0.0000, 0.0000, 0.2825) and Rh at (0.0000, 0.2500, 0.5000).

---

Number 4 is which compound?
Ac4B3PtRh12

---

What is the formula in the first record?
Ac2BPtRh6